1.
# Al2PSe

A geometry-optimized Al2PSe structure (PBE, Alexandria).

DOS at the Fermi energy in states/eV/cell: 1.58
Relative energy among the computed polymorphs in eV/atom: 0.558
Size of the total moment in μB/atom: 0.000
Formation energy without anion corrections in meV per atom: 85

The structure in extended XYZ format:
```
4
Lattice="0.0000 3.2315 3.2315 3.2315 0.0000 3.2315 3.2315 3.2315 0.0000" Properties=species:S:1:pos:R:3 pbc="T T T"
Se 3.2315 3.2315 3.2315
Al 4.8473 4.8473 4.8473
P 0.0000 0.0000 0.0000
Al 1.6158 1.6158 1.6158
```


2.
# Ti6Co3C

A geometry-optimized Ti6Co3C structure (PBE, Alexandria).

DOS at the Fermi energy in states/eV/cell: 18.94
E_form in meV/atom: -281
Size of the total moment in μB/atom: 0.000

The structure in extended XYZ format:
```
20
Lattice="5.3741 0.0000 0.2316 0.0000 6.3491 0.0000 0.4297 0.0000 8.2779" Properties=species:S:1:pos:R:3 pbc="T T T"
Ti 2.1716 5.1062 3.6803
Co 0.5541 3.8641 2.0102
C 0.0000 0.0000 0.0000
Co 0.2149 0.0000 4.1389
Ti 3.6322 1.2429 4.8292
Ti 2.1645 3.4679 6.2027
Ti 5.0736 4.4175 7.9351
C 2.9019 3.1746 4.2548
Ti 0.7303 1.9316 0.5744
Ti 4.6367 6.0558 2.1796
Co 2.6871 3.1746 0.1158
Co 2.3479 0.6895 2.2446
Co 5.2498 2.4851 6.4993
Ti 4.6908 4.1551 4.7867
Ti 1.7889 5.3686 0.5319
Ti 4.0149 0.9806 7.9776
Ti 3.6393 2.8812 2.3068
Co 3.4560 5.6596 6.2650
Ti 1.1130 2.1940 3.7229
Ti 1.1671 0.2933 6.3299
```


3.
# TaInAg4

A geometry-optimized TaInAg4 structure (PBE, Alexandria).

DOS at the Fermi energy in states/eV/cell: 3.48
E_form in meV/atom: 474
Size of the total moment in μB/atom: 0.312

The structure in extended XYZ format:
```
6
Lattice="-0.9577 -5.2668 1.0693 -5.0734 -1.6808 1.1117 -2.7112 -3.0689 -3.6099" Properties=species:S:1:pos:R:3 pbc="T T T"
Ta 0.0000 0.0000 0.0000
Ag -3.7557 -6.3929 0.0005
Ag -5.8184 -4.5957 0.0218
Ag -4.6345 -5.2914 -2.3447
Ag -3.2757 -3.7532 -0.5354
In -6.5566 -7.5124 -1.0717
```


4.
# Co2TcRh

A geometry-optimized Co2TcRh structure (PBE, Alexandria).

DOS at the Fermi energy in states/eV/cell: 5.88
Relative energy among the computed polymorphs in eV/atom: 1.065
E_form in meV/atom: 1100
Size of the total moment in μB/atom: 0.000

The structure in extended XYZ format:
```
8
Lattice="-2.8703 3.7061 2.3829 -2.3024 -3.6864 2.9600 1.0281 0.5606 6.1687" Properties=species:S:1:pos:R:3 pbc="T T T"
Co -3.7478 0.4492 9.2923
Tc -2.5863 0.0099 2.6715
Rh -2.2143 2.1383 5.6115
Rh 0.0000 0.0000 0.0000
Co -1.5497 -1.6890 3.6975
Tc -1.9303 -1.5580 5.9001
Co -1.8157 1.9840 3.3940
Co -1.1759 0.4163 6.6394
```


5.
# TaBi3Te

A geometry-optimized TaBi3Te structure (PBE, Alexandria).

DOS at the Fermi energy in states/eV/cell: 3.60
Relative energy among the computed polymorphs in eV/atom: 0.000
Size of the total moment in μB/atom: 0.000
Formation energy without anion corrections in meV per atom: 484

The structure in extended XYZ format:
```
5
Lattice="5.4970 0.0000 0.0000 0.0000 5.4970 0.0000 0.0000 0.0000 5.4970" Properties=species:S:1:pos:R:3 pbc="T T T"
Bi 2.7485 0.0000 0.0000
Bi 0.0000 0.0000 2.7485
Bi 0.0000 2.7485 0.0000
Ta 0.0000 0.0000 0.0000
Te 2.7485 2.7485 2.7485
```


6.
# DyAlPd

A geometry-optimized DyAlPd structure (PBE, Alexandria).

DOS at the Fermi energy in states/eV/cell: 2.24
E_form in meV/atom: -466
Size of the total moment in μB/atom: 0.000

The structure in extended XYZ format:
```
3
Lattice="3.7486 0.0000 0.0000 1.8743 3.2464 0.0000 1.8743 1.0821 5.5697" Properties=species:S:1:pos:R:3 pbc="T T T"
Al 3.7486 2.1643 2.2810
Pd 1.8743 1.0821 3.5481
Dy 3.7486 2.1643 5.5548
```


7.
# Ba2CaSn3Au4

A geometry-optimized Ba2CaSn3Au4 structure (PBE, Alexandria).

DOS at the Fermi energy in states/eV/cell: 4.82
E_form in meV/atom: -654
Size of the total moment in μB/atom: 0.000

The structure in extended XYZ format:
```
10
Lattice="-4.1579 0.5265 2.5502 -0.5905 -4.8702 0.0427 5.9918 -0.6397 9.9011" Properties=species:S:1:pos:R:3 pbc="T T T"
Sn 3.1798 -0.2981 9.9650
Sn 0.4378 -2.5134 1.2327
Ca 0.6216 -2.4917 6.2471
Au 1.8596 -2.6652 3.5822
Sn 2.9959 -0.3198 4.9506
Au 0.0000 0.0000 0.0000
Ba -0.7075 0.1169 3.5414
Au -2.3742 -2.1718 1.2965
Au 1.7579 -0.1463 7.6155
Ba 4.3251 -2.9284 7.6563
```


8.
# KZn2Cu

A geometry-optimized KZn2Cu structure (PBE, Alexandria).

DOS at the Fermi energy in states/eV/cell: 0.99
E_form in meV/atom: 170
Size of the total moment in μB/atom: 0.000

The structure in extended XYZ format:
```
4
Lattice="3.2703 -0.0015 0.0000 0.0016 3.2703 0.0000 0.0000 0.0000 7.8711" Properties=species:S:1:pos:R:3 pbc="T T T"
Zn 0.0000 0.0000 0.6718
Zn 0.0000 0.0000 3.2637
Cu 1.6359 1.6344 1.9678
K 1.6359 1.6344 5.9034
```


Q: Among the records above, which one has the lowest DOS at the Fermi energy?
A: KZn2Cu